No. 1
Computed, not measured: an optimized crystal structure of CeTh3C at the GGA-PBE level of DFT.

Summary:
Calculated formation energy (kcal/mol of atoms): -1.14
Total magnetization (μB/cell): 1.1
Fermi-level density of states (states/eV per atom): 1.961

a = 5.140 Å, b = 5.140 Å, c = 5.140 Å
α = 90.00°, β = 90.00°, γ = 90.00°
Atoms (fractional coordinates):
Ce1 0.000 0.000 0.000
Th1 0.000 0.500 0.500
Th2 0.500 0.000 0.500
Th3 0.500 0.500 0.000
C1 0.500 0.500 0.500

---

No. 2
Computed, not measured: an optimized crystal structure of LiInPb at the GGA-PBE level of DFT.

Summary:
Calculated formation energy (kcal/mol of atoms): -3.33
Total magnetization (μB/cell): 0.0
Fermi-level density of states (states/eV per atom): 0.325

a = 5.918 Å, b = 5.918 Å, c = 5.918 Å
α = 142.71°, β = 142.71°, γ = 53.77°
Atoms (fractional coordinates):
Li1 0.000 0.000 0.000
In1 0.652 0.652 0.000
Pb1 0.332 0.332 0.000

---

No. 3
Computed, not measured: an optimized crystal structure of Pr8Er2Tl at the GGA-PBE level of DFT.

Summary:
Calculated formation energy (kcal/mol of atoms): 1.68
E above lowest polymorph (kcal/mol of atoms): 2.69
Total magnetization (μB/cell): 0.0
Fermi-level density of states (states/eV per atom): 1.638

a = 8.492 Å, b = 5.505 Å, c = 8.496 Å
α = 90.00°, β = 103.41°, γ = 90.00°
Atoms (fractional coordinates):
Pr1 0.027 0.000 0.300
Pr2 0.252 0.500 0.749
Pr3 0.300 0.000 0.028
Pr4 0.334 0.500 0.335
Pr5 0.666 0.500 0.665
Pr6 0.700 0.000 0.972
Pr7 0.748 0.500 0.251
Pr8 0.973 0.000 0.700
Er1 0.379 0.000 0.621
Er2 0.621 0.000 0.379
Tl1 0.000 0.500 0.000